Entry from Alexandria: CaBiW2 after structural relaxation (PBE-GGA).

abc: 8.320 8.320 6.502
angles: 50.22 50.22 90.00
Element x y z (fractional)
Bi 0.750 0.250 0.500
Bi 0.000 0.000 0.000
W 0.666 0.125 0.250
W 0.875 0.916 0.750
W 0.375 0.334 0.750
W 0.084 0.625 0.250
Ca 0.250 0.750 0.500
Ca 0.500 0.500 0.000

The crystal system is tetragonal. The value obtained for the total energy is -6.431 eV/atom. As for the space-group type: I-42d.

=====

Entry from Alexandria: CaBiW3 after structural relaxation (PBE-GGA).

abc: 5.096 5.096 5.096
angles: 90.00 90.00 90.00
Element x y z (fractional)
W 0.000 0.000 0.500
W 0.500 0.000 0.000
W 0.000 0.500 0.000
Ca 0.500 0.500 0.500
Bi 0.000 0.000 0.000

The crystal system is cubic. The value obtained for the total energy is -6.382 eV/atom. For the energy above the most stable polymorph in this dataset, the calculation gives 0 meV/atom. As for the space-group type: Pm-3m.

=====

Entry from Alexandria: CaBiW3 after structural relaxation (PBE-GGA).

abc: 4.795 4.795 4.795
angles: 90.00 90.00 90.00
Element x y z (fractional)
Ca 0.000 0.000 0.000
W 0.000 0.500 0.000
W 0.500 0.000 0.000
W 0.000 0.000 0.500
Bi 0.500 0.500 0.500

The crystal system is cubic. The value obtained for the total energy is -5.879 eV/atom. For the energy above the most stable polymorph in this dataset, the calculation gives 503 meV/atom. As for the space-group type: Pm-3m.

=====

Number 1: total magnetization 0.000 μB/cell, energy relative to the elements 1.516 eV per atom, Fermi-level density of states 9.8 states/eV per cell. Number 2: total magnetization 0.000 μB/cell, energy relative to the elements 2.567 eV per atom, Fermi-level density of states 5.5 states/eV per cell. Number 3: total magnetization 0.000 μB/cell, energy relative to the elements 3.069 eV per atom, Fermi-level density of states 8.7 states/eV per cell.